[1]
16
Lattice="1.961 -4.711 -5.398 4.174 -3.798 4.831 -9.061 -0.180 1.977" Properties=species:S:1:pos:R:3 comment="Tb5Au3 | the Alexandria database | GGA-PBE | relaxed" e_tot_ev_per_atom=-4.75 sg=I4/mcm delta_e_f_ev_per_atom=-0.6256 pbc="T T T"
Tb 0.000 0.000 0.000
Tb 3.068 -4.254 -0.284
Tb -5.246 -2.620 -1.328
Tb -3.123 -3.573 3.692
Tb -2.834 -5.299 0.193
Tb -5.535 -0.894 2.171
Tb 2.320 -6.069 2.737
Tb 0.198 -5.117 -2.283
Tb -0.092 -3.390 1.216
Tb 2.610 -7.796 -0.762
Au 0.071 -6.472 0.563
Au -2.997 -2.217 0.846
Au 2.918 -3.051 2.339
Au 3.218 -5.458 -2.906
Au 1.280 -2.232 -1.314
Au 4.855 -6.277 0.747


[2]
12
Lattice="3.357 0.000 0.000 0.000 6.732 0.241 -1.679 -1.940 7.059" Properties=species:S:1:pos:R:3 comment="TbTm3Zr2N6 | the Alexandria database | GGA-PBE | relaxed" formation_energy_uncorrected_ev_per_atom=-1.773 e_tot_ev_per_atom=-8.86 sg=C2/m pbc="T T T"
Tb 1.679 0.000 0.000
Tm 1.679 3.366 0.120
Tm 1.679 -0.167 4.742
Tm 0.000 4.959 2.558
Zr 1.679 3.186 4.858
Zr 0.000 1.606 2.442
N 0.000 4.814 4.884
N 1.679 3.232 2.535
N 1.679 -0.021 2.416
N 0.000 1.718 0.134
N 1.679 3.074 7.166
N 0.000 1.560 4.765


[3]
4
Lattice="3.684 0.000 0.000 0.000 3.684 0.000 0.000 0.000 5.452" Properties=species:S:1:pos:R:3 comment="MgZrSi2 | the Alexandria database | GGA-PBE | relaxed" formation_energy_uncorrected_ev_per_atom=-0.168 e_tot_ev_per_atom=-5.42 sg=P4mm pbc="T T T"
Mg 1.842 1.842 4.246
Si 0.000 0.000 5.324
Si 1.842 1.842 1.527
Zr 0.000 0.000 2.534


[4]
16
Lattice="6.088 0.000 0.000 0.000 7.450 -4.301 0.000 0.000 8.602" Properties=species:S:1:pos:R:3 comment="Mg2Sc3Pb3 | the Alexandria database | GGA-PBE | relaxed" e_tot_ev_per_atom=-4.42 sg=P6_3/mcm delta_e_f_ev_per_atom=-0.2543 pbc="T T T"
Mg 0.000 2.483 4.301
Mg 3.044 4.967 0.000
Mg 0.000 4.967 0.000
Mg 3.044 2.483 4.301
Sc 4.566 1.754 -1.013
Sc 4.566 5.695 3.288
Sc 4.566 0.000 2.026
Sc 1.522 5.695 -3.288
Sc 1.522 1.754 1.013
Sc 1.522 0.000 6.577
Pb 4.566 4.511 -2.605
Pb 4.566 2.939 1.697
Pb 4.566 0.000 5.209
Pb 1.522 2.939 -1.697
Pb 1.522 4.511 2.605
Pb 1.522 0.000 3.393


[5]
5
Lattice="5.097 0.000 0.000 0.000 5.616 0.000 0.000 0.000 5.097" Properties=species:S:1:pos:R:3 comment="MgScAs2Pb | the Alexandria database | GGA-PBE | relaxed" polymorph_energy_mev_per_atom=0.0 e_tot_ev_per_atom=-4.06 sg=P4/mmm delta_e_f_ev_per_atom=0.1274 pbc="T T T"
Pb 0.000 2.808 0.000
Sc 0.000 0.000 0.000
As 0.000 0.000 2.549
As 2.549 0.000 0.000
Mg 2.549 2.808 2.549


[6]
15
Lattice="-4.991 4.577 -6.061 -8.628 2.131 1.900 -2.555 7.909 1.263" Properties=species:S:1:pos:R:3 comment="Na8AlTl6 | the Alexandria database | GGA-PBE | relaxed" e_tot_ev_per_atom=-1.95 sg=R-3 delta_e_f_ev_per_atom=-0.0469 pbc="T T T"
Na -5.495 5.667 -2.261
Na -6.389 8.854 -3.640
Na -6.320 6.617 1.096
Na -9.051 4.553 -2.736
Na -7.123 10.065 -0.161
Na -9.853 8.000 -3.993
Na -9.785 5.764 0.743
Na -10.678 8.951 -0.636
Al 0.000 0.000 0.000
Tl -4.390 8.509 -0.964
Tl -7.360 6.031 -5.079
Tl -7.246 3.701 -0.177
Tl -8.928 10.916 -2.720
Tl -8.813 8.587 2.182
Tl -11.783 6.109 -1.933